Entry 1:
A plane-wave DFT calculation with PBE was carried out for an optimized crystal structure of GdHoMg4.

Cell: 6.1822 6.1822 6.1822 Å, 129.92 115.64 85.73°
Fractional positions:
Gd: 0.5018 0.5018 0.0000
Ho: 0.9980 0.4980 0.5000
Mg: 0.4149 0.1667 0.2483
Mg: 0.0846 0.8334 0.2512
Mg: 0.5822 0.8334 0.7488
Mg: 0.9184 0.1667 0.7517

Results
Space-group type = Imm2
Total energy = -2.637 eV/atom

Entry 2:
A plane-wave DFT calculation with PBE was carried out for an optimized crystal structure of GdHoMg.

Cell: 8.7628 8.7628 5.4644 Å, 90.00 90.00 155.66°
Fractional positions:
Gd: 0.2729 0.7271 0.2500
Gd: 0.7271 0.2729 0.7500
Ho: 0.5913 0.4087 0.2500
Ho: 0.4087 0.5913 0.7500
Mg: 0.9335 0.0665 0.2500
Mg: 0.0665 0.9335 0.7500

Results
ΔE to the lowest computed polymorph = 0.007 eV/atom
Space-group type = Cmcm
Total energy = -3.648 eV/atom

What did the first record say?
A plane-wave DFT calculation with PBE was carried out for an optimized crystal structure of GdHoMg4.

Cell: 6.1822 6.1822 6.1822 Å, 129.92 115.64 85.73°
Fractional positions:
Gd: 0.5018 0.5018 0.0000
Ho: 0.9980 0.4980 0.5000
Mg: 0.4149 0.1667 0.2483
Mg: 0.0846 0.8334 0.2512
Mg: 0.5822 0.8334 0.7488
Mg: 0.9184 0.1667 0.7517

Results
Space-group type = Imm2
Total energy = -2.637 eV/atom

Number 1 is which compound?
GdHoMg4

Please write out number 1 again, unchanged.
A plane-wave DFT calculation with PBE was carried out for an optimized crystal structure of GdHoMg4.

Cell: 6.1822 6.1822 6.1822 Å, 129.92 115.64 85.73°
Fractional positions:
Gd: 0.5018 0.5018 0.0000
Ho: 0.9980 0.4980 0.5000
Mg: 0.4149 0.1667 0.2483
Mg: 0.0846 0.8334 0.2512
Mg: 0.5822 0.8334 0.7488
Mg: 0.9184 0.1667 0.7517

Results
Space-group type = Imm2
Total energy = -2.637 eV/atom